# 1
{"formula": "BaNaSeBr2", "functional": "PBE", "state": "optimized geometry", "cell": [[-3.3078, 1.8369, -3.8265], [-3.4587, -3.9785, 1.0801], [-2.5471, 3.2335, 3.7541]], "species": ["Na", "Se", "Ba", "Br", "Br"], "fractional_positions": [[0.0000, 0.0000, 0.0000], [0.0000, 0.0000, 0.5000], [0.5000, 0.5000, 0.5000], [0.0000, 0.5000, 0.0000], [0.5000, 0.0000, 0.0000]], "n_ef_per_ev_cell": 3.38, "rho_g_cm3": 4.1, "relative_energy_mev_per_atom": 0, "e_form_raw_ev_per_atom": -1.267}

# 2
{"formula": "BaNaSeBr2", "functional": "PBE", "state": "optimized geometry", "cell": [[6.3046, 0.0000, 0.0000], [0.0000, 6.3046, 0.0000], [0.0000, 0.0000, 6.3448]], "species": ["Na", "Se", "Ba", "Br", "Br"], "fractional_positions": [[0.5000, 0.5000, 0.5000], [0.0000, 0.0000, 0.5000], [0.0000, 0.0000, 0.0000], [0.0000, 0.5000, 0.0000], [0.5000, 0.0000, 0.0000]], "n_ef_per_ev_cell": 7.48, "rho_g_cm3": 2.6, "relative_energy_mev_per_atom": 135, "e_form_raw_ev_per_atom": -1.132}

# 3
{"formula": "Ba2NaSrBr", "functional": "PBE", "state": "optimized geometry", "cell": [[6.5729, 0.0000, 0.0000], [0.0000, 6.5729, 0.0000], [0.0000, 0.0000, 6.1067]], "species": ["Sr", "Ba", "Ba", "Br", "Na"], "fractional_positions": [[0.0000, 0.0000, 0.5000], [0.0000, 0.5000, 0.0000], [0.5000, 0.0000, 0.0000], [0.0000, 0.0000, 0.0000], [0.5000, 0.5000, 0.5000]], "n_ef_per_ev_cell": 7.40, "rho_g_cm3": 2.9, "relative_energy_mev_per_atom": 38, "e_form_raw_ev_per_atom": -0.452}